1.
First-principles (PBE-GGA) data for a relaxed Eu2RuAu crystal, as listed in Alexandria via LeMat-Bulk.

abc: 3.518 3.518 7.582
angles: 90.00 90.00 90.00
Element x y z (fractional)
Eu 0.000 0.000 0.770
Eu 0.000 0.000 0.230
Ru 0.500 0.500 0.000
Au 0.500 0.500 0.500

Computed properties:
M_tot in μB/f.u.: 13.25
Raw total energy in eV per atom: -8.53
Energy of formation from the pure elements in kcal/mol of atoms: -5.8

2.
First-principles (PBE-GGA) data for a relaxed SmEuRuAu crystal, as listed in Alexandria via LeMat-Bulk.

abc: 5.067 5.067 5.067
angles: 60.00 60.00 60.00
Element x y z (fractional)
Eu 0.500 0.500 0.500
Ru 0.750 0.750 0.750
Au 0.250 0.250 0.250
Sm 0.000 0.000 0.000

Computed properties:
M_tot in μB/f.u.: 6.69
Raw total energy in eV per atom: -7.21
Energy of formation from the pure elements in kcal/mol of atoms: -7.4

3.
First-principles (PBE-GGA) data for a relaxed EuTmRuAu crystal, as listed in Alexandria via LeMat-Bulk.

abc: 4.978 4.978 4.978
angles: 60.00 60.00 60.00
Element x y z (fractional)
Eu 0.250 0.250 0.250
Ru 0.000 0.000 0.000
Tm 0.750 0.750 0.750
Au 0.500 0.500 0.500

Computed properties:
M_tot in μB/f.u.: 6.74
Raw total energy in eV per atom: -7.20
Energy of formation from the pure elements in kcal/mol of atoms: -8.6

4.
First-principles (PBE-GGA) data for a relaxed EuYRuAu crystal, as listed in Alexandria via LeMat-Bulk.

abc: 5.021 5.021 5.021
angles: 60.00 60.00 60.00
Element x y z (fractional)
Eu 0.000 0.000 0.000
Ru 0.750 0.750 0.750
Au 0.250 0.250 0.250
Y 0.500 0.500 0.500

Computed properties:
M_tot in μB/f.u.: 6.73
Raw total energy in eV per atom: -7.67
Energy of formation from the pure elements in kcal/mol of atoms: -8.1

5.
First-principles (PBE-GGA) data for a relaxed Eu2AuS crystal, as listed in Alexandria via LeMat-Bulk.

abc: 4.198 4.198 7.697
angles: 74.17 74.17 60.00
Element x y z (fractional)
Eu 0.257 0.257 0.229
Eu 0.743 0.743 0.771
S 0.000 0.000 0.000
Au 0.500 0.500 0.500

Computed properties:
Energy relative to the elements, uncorrected in kcal/mol of atoms: -31.1
M_tot in μB/f.u.: 14.74
ΔE to the lowest computed polymorph in meV per atom: 0.0
Raw total energy in eV per atom: -8.34

6.
First-principles (PBE-GGA) data for a relaxed EuAuS2 crystal, as listed in Alexandria via LeMat-Bulk.

abc: 4.386 4.386 7.650
angles: 73.34 73.34 60.00
Element x y z (fractional)
Eu 0.500 0.500 0.500
S 0.105 0.105 0.684
S 0.895 0.895 0.316
Au 0.000 0.000 0.000

Computed properties:
Energy relative to the elements, uncorrected in kcal/mol of atoms: -23.5
M_tot in μB/f.u.: 6.01
Raw total energy in eV per atom: -6.47

Q: Which value of M_tot does entry 3 give?
A: 6.74 μB/f.u.